# 1
Below is a relaxed Rb2BaCoCl6 crystal, with properties calculated at the PBE level.

```
data_Rb2BaCoCl6
_cell_length_a 7.690
_cell_length_b 7.690
_cell_length_c 7.690
_cell_angle_alpha 60.00
_cell_angle_beta 60.00
_cell_angle_gamma 60.00
_symmetry_space_group_name_H-M 'P 1'
_symmetry_Int_Tables_number 1
loop_
_symmetry_equiv_pos_as_xyz
'x,y,z'
loop_
_atom_site_label
_atom_site_type_symbol
_atom_site_fract_x
_atom_site_fract_y
_atom_site_fract_z
Rb1 Rb 0.250 0.250 0.250
Rb2 Rb 0.750 0.750 0.750
Ba1 Ba 0.000 0.000 0.000
Co1 Co 0.500 0.500 0.500
Cl1 Cl 0.275 0.275 0.725
Cl2 Cl 0.275 0.725 0.275
Cl3 Cl 0.275 0.725 0.725
Cl4 Cl 0.725 0.275 0.275
Cl5 Cl 0.725 0.275 0.725
Cl6 Cl 0.725 0.725 0.275
```

Values from the calculation:
For the formation energy from raw total energies, the calculation gives -16.28 eV/f.u. The calculation puts the total magnetization at 3.00 μB/f.u. As for the final energy: -38.32 eV/cell.


# 2
Below is a relaxed RbBaCo2Cl8 crystal, with properties calculated at the PBE level.

```
data_RbBaCo2Cl8
_cell_length_a 10.416
_cell_length_b 10.416
_cell_length_c 10.416
_cell_angle_alpha 37.90
_cell_angle_beta 37.90
_cell_angle_gamma 37.90
_symmetry_space_group_name_H-M 'P 1'
_symmetry_Int_Tables_number 1
loop_
_symmetry_equiv_pos_as_xyz
'x,y,z'
loop_
_atom_site_label
_atom_site_type_symbol
_atom_site_fract_x
_atom_site_fract_y
_atom_site_fract_z
Rb1 Rb 0.000 0.000 0.000
Ba1 Ba 0.500 0.500 0.500
Co1 Co 0.256 0.256 0.256
Co2 Co 0.744 0.744 0.744
Cl1 Cl 0.058 0.441 0.811
Cl2 Cl 0.189 0.942 0.559
Cl3 Cl 0.331 0.331 0.331
Cl4 Cl 0.441 0.811 0.058
Cl5 Cl 0.559 0.189 0.942
Cl6 Cl 0.669 0.669 0.669
Cl7 Cl 0.811 0.058 0.441
Cl8 Cl 0.942 0.559 0.189
```

Values from the calculation:
For the formation energy from raw total energies, the calculation gives -15.44 eV/f.u. The calculation puts the total magnetization at 7.00 μB/f.u. As for the final energy: -47.32 eV/cell.


# 3
Below is a relaxed BaCoSCl2 crystal, with properties calculated at the PBE level.

```
data_BaCoSCl2
_cell_length_a 4.955
_cell_length_b 4.955
_cell_length_c 4.613
_cell_angle_alpha 90.00
_cell_angle_beta 90.00
_cell_angle_gamma 90.00
_symmetry_space_group_name_H-M 'P 1'
_symmetry_Int_Tables_number 1
loop_
_symmetry_equiv_pos_as_xyz
'x,y,z'
loop_
_atom_site_label
_atom_site_type_symbol
_atom_site_fract_x
_atom_site_fract_y
_atom_site_fract_z
Ba1 Ba 0.000 0.000 0.000
Co1 Co 0.500 0.500 0.500
S1 S 0.500 0.500 0.000
Cl1 Cl 0.000 0.500 0.500
Cl2 Cl 0.500 0.000 0.500
```

Values from the calculation:
For the formation energy from raw total energies, the calculation gives -6.22 eV/f.u. The energy above the most stable polymorph in this dataset comes out at 0.000 eV/atom. The calculation puts the total magnetization at 2.35 μB/f.u. As for the final energy: -23.07 eV/cell.


# 4
Below is a relaxed BaCoSCl2 crystal, with properties calculated at the PBE level.

```
data_BaCoSCl2
_cell_length_a 5.843
_cell_length_b 5.843
_cell_length_c 6.057
_cell_angle_alpha 90.00
_cell_angle_beta 90.00
_cell_angle_gamma 90.00
_symmetry_space_group_name_H-M 'P 1'
_symmetry_Int_Tables_number 1
loop_
_symmetry_equiv_pos_as_xyz
'x,y,z'
loop_
_atom_site_label
_atom_site_type_symbol
_atom_site_fract_x
_atom_site_fract_y
_atom_site_fract_z
Ba1 Ba 0.000 0.000 0.000
Co1 Co 0.500 0.500 0.500
S1 S 0.000 0.000 0.500
Cl1 Cl 0.000 0.500 0.000
Cl2 Cl 0.500 0.000 0.000
```

Values from the calculation:
For the formation energy from raw total energies, the calculation gives -0.18 eV/f.u. The energy above the most stable polymorph in this dataset comes out at 1.207 eV/atom. The calculation puts the total magnetization at 2.71 μB/f.u. As for the final energy: -17.03 eV/cell.